This record from Alexandria describes crystalline TbPmNdPb at its relaxed geometry. The functional is GGA-PBE.

Summary:
Volume ... 30.8 A^3/atom
Energy of formation from the pure elements ... -56 kJ/mol of formula units
Crystal system ... cubic
Density of states at the Fermi level ... 32.0 states/eV per cell

CIF file:
```
data_TbPmNdPb
_symmetry_space_group_name_H-M 'F -4 3 m'
_symmetry_Int_Tables_number 216
_symmetry_space_group_name_Hall 'F -4 2 3'
_cell_length_a 7.898
_cell_length_b 7.898
_cell_length_c 7.898
_cell_angle_alpha 90.00
_cell_angle_beta 90.00
_cell_angle_gamma 90.00
loop_
_atom_site_label
_atom_site_fract_x
_atom_site_fract_y
_atom_site_fract_z
_atom_site_occupancy
Tb1 0.000 0.000 0.000 1
Pm1 0.250 0.250 0.750 1
Nd1 0.250 0.250 0.250 1
Pb1 0.000 0.000 0.500 1
```

This record from Alexandria describes crystalline PmNdThPb at its relaxed geometry. The functional is GGA-PBE.

Summary:
Volume ... 31.0 A^3/atom
Energy of formation from the pure elements ... -24 kJ/mol of formula units
Crystal system ... cubic
Density of states at the Fermi level ... 19.8 states/eV per cell

CIF file:
```
data_PmNdThPb
_symmetry_space_group_name_H-M 'F -4 3 m'
_symmetry_Int_Tables_number 216
_symmetry_space_group_name_Hall 'F -4 2 3'
_cell_length_a 7.919
_cell_length_b 7.919
_cell_length_c 7.919
_cell_angle_alpha 90.00
_cell_angle_beta 90.00
_cell_angle_gamma 90.00
loop_
_atom_site_label
_atom_site_fract_x
_atom_site_fract_y
_atom_site_fract_z
_atom_site_occupancy
Pm1 0.000 0.000 0.000 1
Nd1 0.000 0.000 0.500 1
Th1 0.250 0.250 0.250 1
Pb1 0.250 0.250 0.750 1
```

This record from Alexandria describes crystalline PmNdZnPb at its relaxed geometry. The functional is GGA-PBE.

Summary:
Volume ... 27.6 A^3/atom
Energy of formation from the pure elements ... -156 kJ/mol of formula units
Crystal system ... cubic
Density of states at the Fermi level ... 13.8 states/eV per cell

CIF file:
```
data_PmNdZnPb
_symmetry_space_group_name_H-M 'F -4 3 m'
_symmetry_Int_Tables_number 216
_symmetry_space_group_name_Hall 'F -4 2 3'
_cell_length_a 7.619
_cell_length_b 7.619
_cell_length_c 7.619
_cell_angle_alpha 90.00
_cell_angle_beta 90.00
_cell_angle_gamma 90.00
loop_
_atom_site_label
_atom_site_fract_x
_atom_site_fract_y
_atom_site_fract_z
_atom_site_occupancy
Pm1 0.000 0.000 0.000 1
Nd1 0.000 0.000 0.500 1
Zn1 0.250 0.250 0.250 1
Pb1 0.250 0.250 0.750 1
```

This record from Alexandria describes crystalline Pr5Nd6Pb at its relaxed geometry. The functional is GGA-PBE.

Summary:
Volume ... 34.5 A^3/atom
Energy of formation from the pure elements ... -85 kJ/mol of formula units
Crystal system ... orthorhombic
Density of states at the Fermi level ... 30.7 states/eV per cell

CIF file:
```
data_Pr5Nd6Pb
_symmetry_space_group_name_H-M 'I m m m'
_symmetry_Int_Tables_number 71
_symmetry_space_group_name_Hall '-I 2 2'
_cell_length_a 5.087
_cell_length_b 10.389
_cell_length_c 15.665
_cell_angle_alpha 90.00
_cell_angle_beta 90.00
_cell_angle_gamma 90.00
loop_
_atom_site_label
_atom_site_fract_x
_atom_site_fract_y
_atom_site_fract_z
_atom_site_occupancy
Pr1 0.000 0.000 0.000 1
Pr2 0.000 0.000 0.332 1
Pr3 0.000 0.500 0.337 1
Nd1 0.000 0.242 0.500 1
Nd2 0.000 0.256 0.163 1
Pb1 0.000 0.500 0.000 1
```

This record from Alexandria describes crystalline PrNd4Pb2 at its relaxed geometry. The functional is GGA-PBE.

Summary:
Volume ... 37.3 A^3/atom
Energy of formation from the pure elements ... 214 kJ/mol of formula units
Crystal system ... tetragonal
Density of states at the Fermi level ... 16.8 states/eV per cell

CIF file:
```
data_PrNd4Pb2
_symmetry_space_group_name_H-M 'I 4/m m m'
_symmetry_Int_Tables_number 139
_symmetry_space_group_name_Hall '-I 4 2'
_cell_length_a 5.602
_cell_length_b 5.602
_cell_length_c 16.652
_cell_angle_alpha 90.00
_cell_angle_beta 90.00
_cell_angle_gamma 90.00
loop_
_atom_site_label
_atom_site_fract_x
_atom_site_fract_y
_atom_site_fract_z
_atom_site_occupancy
Pr1 0.000 0.000 0.000 1
Nd1 0.000 0.000 0.182 1
Nd2 0.000 0.500 0.000 1
Pb1 0.000 0.000 0.370 1
```

This record from Alexandria describes crystalline Pr5NdPb5 at its relaxed geometry. The functional is GGA-PBE.

Summary:
Volume ... 36.8 A^3/atom
Energy of formation from the pure elements ... -369 kJ/mol of formula units
Crystal system ... monoclinic
Density of states at the Fermi level ... 21.2 states/eV per cell

CIF file:
```
data_Pr5NdPb5
_symmetry_space_group_name_H-M 'C 1 2/m 1'
_symmetry_Int_Tables_number 12
_symmetry_space_group_name_Hall '-C 2y'
_cell_length_a 14.707
_cell_length_b 6.478
_cell_length_c 8.926
_cell_angle_alpha 90.00
_cell_angle_beta 107.61
_cell_angle_gamma 90.00
loop_
_atom_site_label
_atom_site_fract_x
_atom_site_fract_y
_atom_site_fract_z
_atom_site_occupancy
Pr1 0.000 0.000 0.000 1
Pr2 0.167 0.500 0.333 1
Pr3 0.167 0.500 0.835 1
Nd1 0.000 0.000 0.500 1
Pb1 0.000 0.500 0.500 1
Pb2 0.165 0.000 0.330 1
Pb3 0.165 0.000 0.834 1
```

This record from Alexandria describes crystalline Pr6Nd12Pb at its relaxed geometry. The functional is GGA-PBE.

Summary:
Volume ... 36.0 A^3/atom
Energy of formation from the pure elements ... 107 kJ/mol of formula units
Crystal system ... trigonal
Density of states at the Fermi level ... 92.8 states/eV per cell

CIF file:
```
data_Pr6Nd12Pb
_symmetry_space_group_name_H-M 'R -3 m'
_symmetry_Int_Tables_number 166
_symmetry_space_group_name_Hall '-R 3 2"'
_cell_length_a 13.4553
_cell_length_b 13.4553
_cell_length_c 13.0825
_cell_angle_alpha 90.00
_cell_angle_beta 90.00
_cell_angle_gamma 120.00
loop_
_atom_site_label
_atom_site_fract_x
_atom_site_fract_y
_atom_site_fract_z
_atom_site_occupancy
Pr1 0.0908 0.1815 0.2737 1
Nd1 0.0000 0.2586 0.5000 1
Nd2 0.0597 0.5299 0.6118 1
Pb1 0.0000 0.0000 0.5000 1
```

This record from Alexandria describes crystalline Pr5Nd12Pb2 at its relaxed geometry. The functional is GGA-PBE.

Summary:
Volume ... 35.2 A^3/atom
Energy of formation from the pure elements ... -97 kJ/mol of formula units
Crystal system ... monoclinic
Density of states at the Fermi level ... 48.0 states/eV per cell

CIF file:
```
data_Pr5Nd12Pb2
_symmetry_space_group_name_H-M 'C 1 2/m 1'
_symmetry_Int_Tables_number 12
_symmetry_space_group_name_Hall '-C 2y'
_cell_length_a 15.756
_cell_length_b 9.690
_cell_length_c 8.767
_cell_angle_alpha 90.00
_cell_angle_beta 93.33
_cell_angle_gamma 90.00
loop_
_atom_site_label
_atom_site_fract_x
_atom_site_fract_y
_atom_site_fract_z
_atom_site_occupancy
Pr1 0.000 0.000 0.000 1
Pr2 0.183 0.500 0.502 1
Pr3 0.235 0.000 0.088 1
Nd1 0.052 0.500 0.812 1
Nd2 0.079 0.000 0.382 1
Nd3 0.123 0.307 0.156 1
Nd4 0.148 0.183 0.735 1
Pb1 0.000 0.306 0.500 1
```

This record from Alexandria describes crystalline PrNd4Pb5 at its relaxed geometry. The functional is GGA-PBE.

Summary:
Volume ... 30.3 A^3/atom
Energy of formation from the pure elements ... -499 kJ/mol of formula units
Crystal system ... tetragonal
Density of states at the Fermi level ... 9.0 states/eV per cell

CIF file:
```
data_PrNd4Pb5
_symmetry_space_group_name_H-M 'P 4/m m m'
_symmetry_Int_Tables_number 123
_symmetry_space_group_name_Hall '-P 4 2'
_cell_length_a 3.610
_cell_length_b 3.610
_cell_length_c 23.221
_cell_angle_alpha 90.00
_cell_angle_beta 90.00
_cell_angle_gamma 90.00
loop_
_atom_site_label
_atom_site_fract_x
_atom_site_fract_y
_atom_site_fract_z
_atom_site_occupancy
Pr1 0.000 0.000 0.000 1
Nd1 0.000 0.000 0.201 1
Nd2 0.000 0.000 0.400 1
Pb1 0.500 0.500 0.101 1
Pb2 0.500 0.500 0.301 1
Pb3 0.500 0.500 0.500 1
```

This record from Alexandria describes crystalline PrNd2Pb at its relaxed geometry. The functional is GGA-PBE.

Summary:
Volume ... 31.4 A^3/atom
Energy of formation from the pure elements ... -132 kJ/mol of formula units
Crystal system ... tetragonal
Density of states at the Fermi level ... 4.8 states/eV per cell

CIF file:
```
data_PrNd2Pb
_symmetry_space_group_name_H-M 'P 4/m m m'
_symmetry_Int_Tables_number 123
_symmetry_space_group_name_Hall '-P 4 2'
_cell_length_a 5.016
_cell_length_b 5.016
_cell_length_c 4.998
_cell_angle_alpha 90.00
_cell_angle_beta 90.00
_cell_angle_gamma 90.00
loop_
_atom_site_label
_atom_site_fract_x
_atom_site_fract_y
_atom_site_fract_z
_atom_site_occupancy
Pr1 0.000 0.000 0.000 1
Nd1 0.000 0.500 0.500 1
Pb1 0.500 0.500 0.000 1
```